1.
SrInAu11 | PBE | relaxed

Cell: 5.652 7.621 7.113 Å, 82.14 66.59 69.87°
Sites, in units of the cell vectors:
1 Au 0.000 0.000 0.500
2 Au 0.707 0.784 0.784
3 Sr 0.000 0.000 0.000
4 Au 0.667 0.344 0.356
5 In 0.500 0.500 0.000
6 Au 0.293 0.216 0.216
7 Au 0.333 0.656 0.644
8 Au 0.977 0.656 0.356
9 Au 0.023 0.344 0.644
10 Au 0.490 0.784 0.216
11 Au 0.000 0.500 0.000
12 Au 0.500 0.000 0.500
13 Au 0.510 0.216 0.784

Computed properties:
**E**: -43.34 eV per cell


2.
Sc2SiHgS | PBE | relaxed

Cell: 5.092 4.628 5.092 Å, 90.00 90.00 90.00°
Sites, in units of the cell vectors:
1 S 0.000 0.500 0.000
2 Sc 0.500 0.000 0.000
3 Sc 0.000 0.000 0.500
4 Hg 0.500 0.500 0.500
5 Si 0.000 0.000 0.000

Computed properties:
**ΔE_f (raw)**: -0.03 eV/atom


3.
Ta2SiMo | PBE | relaxed

Cell: 3.364 3.364 5.783 Å, 90.00 90.00 90.00°
Sites, in units of the cell vectors:
1 Si 0.500 0.500 0.750
2 Ta 0.000 0.000 0.992
3 Mo 0.500 0.500 0.250
4 Ta 0.000 0.000 0.508

Computed properties:
**ΔE_f (raw)**: -0.24 eV/atom


4.
BeVC3 | PBE | relaxed

Cell: 3.490 3.490 3.490 Å, 90.00 90.00 90.00°
Each line ends with the local moment (μB).
Sites, in units of the cell vectors:
1 Be 0.000 0.000 0.000  0.03
2 C 0.000 0.000 0.500  0.02
3 C 0.000 0.500 0.000  0.02
4 C 0.500 0.000 0.000  0.02
5 V 0.500 0.500 0.500  1.50

Computed properties:
**Energy above the most stable polymorph in this dataset**: 0.0 meV per atom


5.
Re2HgIrCl | PBE | relaxed

Cell: 4.409 4.409 4.466 Å, 90.00 90.00 90.00°
Each line ends with the local moment (μB).
Sites, in units of the cell vectors:
1 Re 0.000 0.500 0.000  0.46
2 Re 0.500 0.000 0.000  0.46
3 Hg 0.500 0.500 0.500  0.00
4 Cl 0.000 0.000 0.000  0.01
5 Ir 0.000 0.000 0.500  0.07

Computed properties:
**ΔE_f (raw)**: 1.77 eV/atom


6.
La3Te | PBE | relaxed

Cell: 5.669 5.669 5.669 Å, 60.00 60.00 60.00°
Each line ends with the local moment (μB).
Sites, in units of the cell vectors:
1 La 0.250 0.250 0.250  0.41
2 La 0.000 0.000 0.000  0.16
3 La 0.500 0.500 0.500  0.16
4 Te 0.750 0.750 0.750  0.00

Computed properties:
**ΔE_f (raw)**: -0.38 eV/atom
**Energy above the most stable polymorph in this dataset**: 384.2 meV per atom


| no. | mass density (g/cm3) |
| --- | --- |
| 1 | 14.9 |
| 2 | 4.9 |
| 3 | 12.3 |
| 4 | 3.7 |
| 5 | 15.3 |
| 6 | 7.0 |